[1]
A relaxed ZnGaAu2O6 crystal, computed with PBE-GGA.

Summary:
Its formation energy from raw total energies is -601 meV/atom.

Structure (CIF):
```
data_ZnGaAu2O6
_chemical_formula_sum 'Zn2 Ga2 Au4 O12'
_cell_length_a 5.9164
_cell_length_b 7.0281
_cell_length_c 7.0281
_cell_angle_alpha 64.09
_cell_angle_beta 75.59
_cell_angle_gamma 75.59
_space_group_name_H-M_alt 'P 1'
_space_group_IT_number 1
loop_
_space_group_symop_operation_xyz
'x,y,z'
loop_
_atom_site_label
_atom_site_type_symbol
_atom_site_fract_x
_atom_site_fract_y
_atom_site_fract_z
O1 O 0.7346 0.4417 0.1945
O2 O 0.7654 0.8055 0.5583
O3 O 0.2654 0.5583 0.8055
O4 O 0.9187 0.3838 0.7491
O5 O 0.4187 0.7491 0.3838
O6 O 0.1463 0.9879 0.8350
O7 O 0.6463 0.8350 0.9879
O8 O 0.5813 0.2509 0.6162
O9 O 0.0813 0.6162 0.2509
O10 O 0.8537 0.0121 0.1650
O11 O 0.3537 0.1650 0.0121
O12 O 0.2346 0.1945 0.4417
Au1 Au 0.2296 0.3903 0.1302
Au2 Au 0.7704 0.6097 0.8698
Au3 Au 0.7296 0.1302 0.3903
Au4 Au 0.2704 0.8698 0.6097
Ga1 Ga 0.7500 0.7250 0.2750
Ga2 Ga 0.2500 0.2750 0.7250
Zn1 Zn 0.7500 0.1296 0.8704
Zn2 Zn 0.2500 0.8704 0.1296
```

[2]
A relaxed GaOsAu3 crystal, computed with PBE-GGA.

Summary:
The calculation puts the formation energy at 6.59 eV/f.u.

Structure (CIF):
```
data_GaOsAu3
_chemical_formula_sum 'Ga1 Os1 Au3'
_cell_length_a 4.7240
_cell_length_b 4.7240
_cell_length_c 4.7240
_cell_angle_alpha 90.00
_cell_angle_beta 90.00
_cell_angle_gamma 90.00
_space_group_name_H-M_alt 'P 1'
_space_group_IT_number 1
loop_
_space_group_symop_operation_xyz
'x,y,z'
loop_
_atom_site_label
_atom_site_type_symbol
_atom_site_fract_x
_atom_site_fract_y
_atom_site_fract_z
Ga1 Ga 0.0000 0.0000 0.0000
Au1 Au 0.0000 0.5000 0.0000
Au2 Au 0.5000 0.0000 0.0000
Au3 Au 0.0000 0.0000 0.5000
Os1 Os 0.5000 0.5000 0.5000
```

[3]
A relaxed GaOsAu3 crystal, computed with PBE-GGA.

Summary:
The calculation puts the formation energy at 5.27 eV/f.u.

Structure (CIF):
```
data_GaOsAu3
_chemical_formula_sum 'Ga1 Os1 Au3'
_cell_length_a 5.0885
_cell_length_b 5.0885
_cell_length_c 5.0885
_cell_angle_alpha 90.00
_cell_angle_beta 90.00
_cell_angle_gamma 90.00
_space_group_name_H-M_alt 'P 1'
_space_group_IT_number 1
loop_
_space_group_symop_operation_xyz
'x,y,z'
loop_
_atom_site_label
_atom_site_type_symbol
_atom_site_fract_x
_atom_site_fract_y
_atom_site_fract_z
Ga1 Ga 0.5000 0.5000 0.5000
Os1 Os 0.0000 0.0000 0.0000
Au1 Au 0.5000 0.0000 0.0000
Au2 Au 0.0000 0.0000 0.5000
Au3 Au 0.0000 0.5000 0.0000
```

[4]
A relaxed GaOsAuS2 crystal, computed with PBE-GGA.

Summary:
Its formation energy from raw total energies is 482 meV/atom.

Structure (CIF):
```
data_GaOsAuS2
_chemical_formula_sum 'Ga1 Os1 Au1 S2'
_cell_length_a 4.4565
_cell_length_b 5.4042
_cell_length_c 4.4565
_cell_angle_alpha 90.00
_cell_angle_beta 90.00
_cell_angle_gamma 90.00
_space_group_name_H-M_alt 'P 1'
_space_group_IT_number 1
loop_
_space_group_symop_operation_xyz
'x,y,z'
loop_
_atom_site_label
_atom_site_type_symbol
_atom_site_fract_x
_atom_site_fract_y
_atom_site_fract_z
Os1 Os 0.0000 0.0000 0.0000
Ga1 Ga 0.0000 0.5000 0.0000
S1 S 0.5000 0.0000 0.0000
S2 S 0.0000 0.0000 0.5000
Au1 Au 0.5000 0.5000 0.5000
```

[5]
A relaxed GaOsAuS2 crystal, computed with PBE-GGA.

Summary:
Its formation energy from raw total energies is 361 meV/atom.

Structure (CIF):
```
data_GaOsAuS2
_chemical_formula_sum 'Ga1 Os1 Au1 S2'
_cell_length_a 4.4922
_cell_length_b 5.4431
_cell_length_c 4.4922
_cell_angle_alpha 90.00
_cell_angle_beta 90.00
_cell_angle_gamma 90.00
_space_group_name_H-M_alt 'P 1'
_space_group_IT_number 1
loop_
_space_group_symop_operation_xyz
'x,y,z'
loop_
_atom_site_label
_atom_site_type_symbol
_atom_site_fract_x
_atom_site_fract_y
_atom_site_fract_z
S1 S 0.0000 0.0000 0.5000
S2 S 0.5000 0.0000 0.0000
Ga1 Ga 0.5000 0.5000 0.5000
Os1 Os 0.0000 0.0000 0.0000
Au1 Au 0.0000 0.5000 0.0000
```

[6]
A relaxed GaSiOs2Au crystal, computed with PBE-GGA.

Summary:
Its formation energy from raw total energies is 2196 meV/atom.

Structure (CIF):
```
data_GaSiOs2Au
_chemical_formula_sum 'Ga1 Si1 Os2 Au1'
_cell_length_a 4.9912
_cell_length_b 4.3974
_cell_length_c 4.9912
_cell_angle_alpha 90.00
_cell_angle_beta 90.00
_cell_angle_gamma 90.00
_space_group_name_H-M_alt 'P 1'
_space_group_IT_number 1
loop_
_space_group_symop_operation_xyz
'x,y,z'
loop_
_atom_site_label
_atom_site_type_symbol
_atom_site_fract_x
_atom_site_fract_y
_atom_site_fract_z
Ga1 Ga 0.5000 0.5000 0.5000
Os1 Os 0.0000 0.0000 0.5000
Os2 Os 0.5000 0.0000 0.0000
Si1 Si 0.0000 0.5000 0.0000
Au1 Au 0.0000 0.0000 0.0000
```